Entry from Alexandria via LeMat-Bulk: an optimized crystal structure of NaPa2S4 (PBE).

Geometry as extended XYZ:
```
14
Lattice="-3.509 0.528 1.691 3.836 -3.371 4.445 4.237 11.628 5.162" Properties=species:S:1:pos:R:3 pbc="T T T"
S 3.302 6.181 9.491
S 3.562 5.704 5.611
S 0.364 6.078 3.426
S 4.715 8.870 7.017
S 1.002 3.082 5.686
S -1.755 0.264 0.845
S -0.152 -0.084 4.281
S 1.262 2.604 1.806
Pa 2.189 4.561 7.687
Pa 2.375 4.224 3.610
Pa 0.826 -0.027 1.723
Pa 3.737 8.812 9.574
Na 1.887 8.293 5.896
Na 2.677 0.492 5.402
```

Summary:
ΔE to the lowest computed polymorph = 0 meV per atom
V = 341.5 Å³ per cell
Formation energy from raw total energies = -1.51 eV/atom
E = -6.775 eV/atom

---

Entry from Alexandria via LeMat-Bulk: an optimized crystal structure of Na2Pa2S5 (PBE).

Geometry as extended XYZ:
```
18
Lattice="-3.238 -3.704 -5.543 6.366 0.169 -3.832 0.897 -5.988 8.433" Properties=species:S:1:pos:R:3 pbc="T T T"
Pa 1.482 -1.861 -4.828
Pa 0.952 -3.640 2.547
Pa -0.082 -0.094 -0.141
Pa 3.511 -5.381 -2.739
S 1.328 -4.237 -3.571
S 4.789 -4.043 -0.807
S -1.229 -6.012 -0.930
S 2.258 -5.788 1.878
S 1.193 -2.432 0.257
S 1.465 -6.429 5.672
S 2.393 -7.594 -1.950
S 2.471 -3.276 -6.933
S -0.226 -8.284 2.944
S 4.017 -1.426 -4.118
Na 5.020 -5.962 1.304
Na -0.830 -3.373 -1.964
Na 3.587 -1.446 -0.877
Na 0.603 -7.888 0.217
```

Summary:
ΔE to the lowest computed polymorph = 95 meV per atom
V = 493.4 Å³ per cell
Formation energy from raw total energies = -1.32 eV/atom
E = -6.013 eV/atom

---

Entry from Alexandria via LeMat-Bulk: an optimized crystal structure of Na5Pa3S12 (PBE).

Geometry as extended XYZ:
```
80
Lattice="-6.416 3.575 -11.518 -9.221 -3.537 9.439 7.375 10.553 4.568" Properties=species:S:1:pos:R:3 pbc="T T T"
Pa -3.549 5.308 -3.126
Pa 3.346 8.796 4.917
Pa -4.712 5.284 5.615
Pa -0.914 7.917 7.017
Pa -6.325 1.768 2.722
Pa -3.339 5.267 10.245
Pa -1.936 8.823 -0.233
Pa 0.009 4.409 0.013
Pa -11.607 1.795 -2.429
Pa -8.271 6.182 2.475
Pa -4.923 5.325 -7.757
Pa -7.348 2.674 -4.528
S -0.476 11.964 -5.816
S -7.832 8.332 0.832
S -4.040 6.994 -1.022
S -1.200 11.124 -1.528
S -3.588 3.888 7.890
S -0.931 5.766 8.716
S -2.001 5.679 5.535
S -11.744 2.489 0.220
S -5.450 0.767 0.325
S -7.356 5.881 5.207
S -4.222 3.597 3.511
S -2.592 3.979 -0.738
S 3.482 8.103 2.269
S -3.489 7.868 6.079
S -10.052 3.118 -4.483
S -2.992 4.613 -5.718
S -6.481 0.810 9.219
S -2.159 7.824 -2.776
S -4.098 -0.071 2.509
S -8.402 0.008 1.733
S -7.062 -0.532 4.017
S -5.270 5.978 8.207
S -4.674 6.704 -5.401
S -1.780 9.782 -6.731
S -7.331 4.825 -6.227
S 1.082 4.242 2.698
S 0.318 7.052 -0.646
S 0.685 8.212 4.620
S 1.791 7.474 6.972
S -5.670 6.612 3.226
S -8.579 3.540 3.134
S -2.811 9.824 2.164
S -4.164 10.662 -0.020
S -6.686 4.072 1.281
S -5.609 2.835 -6.839
S -0.429 2.259 1.656
S -4.773 2.724 -3.590
S -9.343 6.350 -0.210
S -6.261 4.913 -3.046
S -13.294 0.406 -0.528
S -6.102 2.767 5.265
S 0.140 10.583 0.755
S -7.786 -1.372 8.304
S 5.033 10.185 3.016
S -2.652 7.757 9.328
S -1.575 6.519 1.208
S -0.906 4.711 -2.718
S -8.946 2.379 -2.131
Na -2.416 1.759 3.242
Na -10.234 1.778 2.202
Na -0.452 6.163 3.515
Na -4.610 -1.768 4.719
Na -3.310 8.840 -4.864
Na -4.131 5.296 1.244
Na -3.208 1.788 -5.759
Na -8.750 -0.882 5.950
Na 0.000 0.000 0.000
Na -7.809 4.428 -1.027
Na 0.480 7.064 -3.475
Na -7.818 0.019 -1.040
Na -0.923 3.508 7.004
Na -5.845 8.833 -0.753
Na 1.973 8.813 0.287
Na -3.789 1.776 -1.389
Na 3.688 5.276 2.284
Na -4.952 1.752 7.352
Na -4.472 8.816 3.877
Na 0.489 11.473 -3.462
```

Summary:
V = 1962.5 Å³ per cell
Formation energy from raw total energies = -0.97 eV/atom
E = -5.203 eV/atom

---

Entry from Alexandria via LeMat-Bulk: an optimized crystal structure of NaPaS2 (PBE).

Geometry as extended XYZ:
```
16
Lattice="-3.783 -5.642 -0.524 5.302 -0.254 -4.755 3.795 -0.595 7.906" Properties=species:S:1:pos:R:3 pbc="T T T"
Pa -0.350 -1.874 0.558
Pa 5.664 -4.617 2.070
Pa 6.428 -0.919 1.027
Pa -1.115 -5.572 1.600
S 1.828 -0.466 -0.450
S 5.732 -1.497 -1.598
S 4.204 -2.243 2.078
S 2.596 -2.998 5.881
S 3.485 -6.025 3.077
S -0.419 -4.994 4.225
S 2.717 -3.492 -3.254
S 1.109 -4.248 0.549
Na 0.351 -4.776 -2.149
Na 3.373 -2.835 -0.580
Na 4.963 -1.714 4.776
Na 1.941 -3.656 3.207
```

Summary:
V = 357.7 Å³ per cell
Formation energy from raw total energies = -1.43 eV/atom
E = -6.199 eV/atom

---

Entry from Alexandria via LeMat-Bulk: an optimized crystal structure of NaPa2S4 (PBE).

Geometry as extended XYZ:
```
7
Lattice="3.842 0.000 -0.943 -0.652 6.332 -2.657 -0.034 -0.492 8.161" Properties=species:S:1:pos:R:3 pbc="T T T"
S -0.004 5.063 -0.015
S 0.883 4.136 3.597
S 2.273 1.704 0.965
S 3.160 0.777 4.576
Na 0.000 0.000 0.000
Pa 0.813 1.398 3.314
Pa 2.343 4.442 1.248
```

Summary:
ΔE to the lowest computed polymorph = 33 meV per atom
V = 193.0 Å³ per cell
Formation energy from raw total energies = -1.48 eV/atom
E = -6.742 eV/atom

---

Entry from Alexandria via LeMat-Bulk: an optimized crystal structure of Na2PaS4 (PBE).

Geometry as extended XYZ:
```
14
Lattice="6.892 0.171 -2.303 -3.529 5.922 -2.303 -0.094 -0.171 7.266" Properties=species:S:1:pos:R:3 pbc="T T T"
S -0.671 2.027 1.689
S -0.580 1.865 5.322
S 2.611 3.145 2.790
S 4.334 0.108 3.810
S 4.162 4.300 0.665
S 2.115 5.418 -2.125
S -1.289 5.409 -0.843
S 2.391 1.415 -0.665
Na 4.188 3.194 -2.167
Na 1.347 0.676 3.768
Na 1.080 3.723 0.044
Na -0.079 4.251 3.676
Pa 0.000 0.000 0.000
Pa 4.239 1.523 1.330
```

Summary:
ΔE to the lowest computed polymorph = 9 meV per atom
V = 295.6 Å³ per cell
Formation energy from raw total energies = -1.19 eV/atom
E = -5.278 eV/atom